First-principles (PBE-GGA) data for ScBeTc4 after structural relaxation, as listed in Alexandria.

density of states at the Fermi level: 5.1 states/eV/cell
energy relative to the elements: 0.172 eV/atom
calculated volume: 96.2 Å³/cell
space group: F-43m

Unit cell a=5.143 b=5.143 c=5.143 alpha=60.00 beta=60.00 gamma=60.00
Element x y z (fractional)
Tc1 0.376 0.376 0.376
Tc2 0.376 0.376 0.873
Tc3 0.376 0.873 0.376
Tc4 0.873 0.376 0.376
Be1 0.750 0.750 0.750
Sc1 0.000 0.000 0.000

First-principles (PBE-GGA) data for Li2Ni6N after structural relaxation, as listed in Alexandria.

density of states at the Fermi level: 22.2 states/eV/cell
uncorrected formation energy: -113 kJ/mol of formula units
calculated volume: 187.4 Å³/cell
space group: I4/mmm

Unit cell a=5.101 b=5.100 c=7.204 alpha=90.00 beta=89.99 gamma=90.00
Element x y z (fractional)
Ni1 0.500 0.500 0.741
Ni2 0.758 0.758 0.000
Ni3 0.258 0.742 0.500
Ni4 0.742 0.258 0.500
Ni5 0.258 0.258 0.500
Ni6 0.242 0.758 0.000
Ni7 0.000 0.000 0.241
Ni8 0.758 0.242 0.000
Ni9 0.742 0.742 0.500
Ni10 0.000 0.000 0.759
Ni11 0.500 0.500 0.259
Ni12 0.242 0.242 0.000
N1 0.000 0.000 0.500
N2 0.500 0.500 0.000
Li1 0.500 0.000 0.750
Li2 0.000 0.500 0.250
Li3 0.000 0.500 0.750
Li4 0.500 0.000 0.250

First-principles (PBE-GGA) data for In2PIBr after structural relaxation, as listed in Alexandria.

density of states at the Fermi level: 1.4 states/eV/cell
uncorrected formation energy: 146 kJ/mol of formula units
calculated volume: 197.1 Å³/cell
space group: P4/mmm

Unit cell a=6.284 b=4.992 c=6.284 alpha=90.00 beta=90.00 gamma=90.00
Element x y z (fractional)
In1 0.500 0.000 0.000
In2 0.000 0.000 0.500
Br1 0.000 0.000 0.000
P1 0.000 0.500 0.000
I1 0.500 0.500 0.500

First-principles (PBE-GGA) data for CdRuCl2 after structural relaxation, as listed in Alexandria.

density of states at the Fermi level: 4.6 states/eV/cell
uncorrected formation energy: 235 kJ/mol of formula units
calculated volume: 82.0 Å³/cell
space group: F-43m
excess energy over the best structure of this formula in the dataset: 0.804 eV/atom

Unit cell a=4.877 b=4.877 c=4.877 alpha=60.00 beta=60.00 gamma=60.00
Element x y z (fractional)
Ru1 0.750 0.750 0.750
Cd1 0.500 0.500 0.500
Cl1 0.000 0.000 0.000
Cl2 0.250 0.250 0.250